No. 1
{"formula": "Zr2ZnAg", "functional": "SCAN", "state": "PBEsol geometry", "cell": [[3.0515, 0.0000, 0.0000], [0.0000, 3.0515, 0.0000], [0.0000, 0.0000, 7.9129]], "species": ["Zr", "Zr", "Zn", "Ag"], "fractional_positions": [[0.0000, 0.0000, 0.2375], [0.0000, 0.0000, 0.7625], [0.5000, 0.5000, 0.0000], [0.5000, 0.5000, 0.5000]], "crystal_system": "tetragonal", "energy_ry_per_atom": -1.9672}

=====

No. 2
{"formula": "ZrZnAg2", "functional": "SCAN", "state": "PBEsol geometry", "cell": [[0.0000, 3.2349, 3.2349], [3.2349, 0.0000, 3.2349], [3.2349, 3.2349, 0.0000]], "species": ["Zr", "Zn", "Ag", "Ag"], "fractional_positions": [[0.0000, 0.0000, 0.0000], [0.7500, 0.7500, 0.7500], [0.2500, 0.2500, 0.2500], [0.5000, 0.5000, 0.5000]], "crystal_system": "cubic", "energy_ry_per_atom": -1.9744}

=====

No. 3
{"formula": "Zr2ZnAg", "functional": "SCAN", "state": "PBEsol geometry", "cell": [[2.9528, 0.0000, 0.0000], [0.0000, 4.0891, 0.0000], [0.0000, 0.0000, 6.0661]], "species": ["Zr", "Zr", "Zn", "Ag"], "fractional_positions": [[0.0000, 0.0000, 0.2426], [0.0000, 0.0000, 0.7574], [0.5000, 0.5000, 0.0000], [0.5000, 0.5000, 0.5000]], "crystal_system": "orthorhombic", "energy_ry_per_atom": -1.9650}

=====

No. 4
{"formula": "ZrZnAg2", "functional": "SCAN", "state": "PBEsol geometry", "cell": [[2.9206, 0.0000, 0.0000], [0.0000, 2.9206, 0.0000], [0.0000, 0.0000, 7.9320]], "species": ["Zr", "Zn", "Ag", "Ag"], "fractional_positions": [[0.0000, 0.0000, 0.0000], [0.0000, 0.0000, 0.5000], [0.5000, 0.5000, 0.2772], [0.5000, 0.5000, 0.7228]], "crystal_system": "tetragonal", "energy_ry_per_atom": -1.9690}

=====

No. 5
{"formula": "Zr2ZnAg", "functional": "SCAN", "state": "PBEsol geometry", "cell": [[-2.0997, 2.0997, 4.1490], [2.0997, -2.0997, 4.1490], [2.0997, 2.0997, -4.1490]], "species": ["Zr", "Zr", "Zn", "Ag"], "fractional_positions": [[0.2500, 0.7500, 0.5000], [0.7500, 0.2500, 0.5000], [0.0000, 0.0000, 0.0000], [0.5000, 0.5000, 0.0000]], "crystal_system": "tetragonal", "energy_ry_per_atom": -1.9645}

=====

No. 6
{"formula": "Zr2ZnAg", "functional": "SCAN", "state": "PBEsol geometry", "cell": [[3.3583, 0.0000, 0.0000], [0.0000, 3.3583, 0.0000], [0.0000, 0.0000, 6.6381]], "species": ["Zr", "Zr", "Zn", "Ag"], "fractional_positions": [[0.0000, 0.0000, 0.0000], [0.5000, 0.5000, 0.2927], [0.5000, 0.5000, 0.7557], [0.0000, 0.0000, 0.5509]], "crystal_system": "tetragonal", "energy_ry_per_atom": -1.9644}

=====

No. 7
{"formula": "ZrAg2", "functional": "SCAN", "state": "PBEsol geometry", "cell": [[-1.4948, 2.0466, 4.4007], [1.4948, -2.0466, 4.4007], [1.4948, 2.0466, -4.4007]], "species": ["Zr", "Ag", "Ag"], "fractional_positions": [[0.0000, 0.0000, 0.0000], [0.3298, 0.3298, 0.0000], [0.6702, 0.6702, 0.0000]], "crystal_system": "orthorhombic", "energy_ry_per_atom": -2.2966}

=====

No. 8
{"formula": "Zr3Ag4", "functional": "SCAN", "state": "PBEsol geometry", "cell": [[-1.7349, 1.7349, 10.9502], [1.7349, -1.7349, 10.9502], [1.7349, 1.7349, -10.9502]], "species": ["Zr", "Zr", "Zr", "Ag", "Ag", "Ag", "Ag"], "fractional_positions": [[0.0000, 0.0000, 0.0000], [0.2926, 0.2926, 0.0000], [0.7074, 0.7074, 0.0000], [0.1360, 0.1360, 0.0000], [0.4294, 0.4294, 0.0000], [0.5706, 0.5706, 0.0000], [0.8640, 0.8640, 0.0000]], "crystal_system": "tetragonal", "energy_ry_per_atom": -2.2950}

=====

No. 9
{"formula": "Zr2Ag3", "functional": "SCAN", "state": "PBEsol geometry", "cell": [[-1.4614, 2.0895, 7.5307], [1.4614, -2.0895, 7.5307], [1.4614, 2.0895, -7.5307]], "species": ["Zr", "Zr", "Ag", "Ag", "Ag"], "fractional_positions": [[0.1038, 0.1038, 0.0000], [0.8962, 0.8962, 0.0000], [0.2972, 0.2972, 0.0000], [0.5000, 0.5000, 0.0000], [0.7028, 0.7028, 0.0000]], "crystal_system": "orthorhombic", "energy_ry_per_atom": -2.2908}

=====

No. 10
{"formula": "ZrAg5", "functional": "SCAN", "state": "PBEsol geometry", "cell": [[4.8118, 0.0000, 0.0000], [0.0000, 1.4327, 7.5666], [0.0000, -1.4327, 7.5666]], "species": ["Zr", "Ag", "Ag", "Ag", "Ag", "Ag"], "fractional_positions": [[0.0000, 0.0000, 0.0000], [0.0000, 0.3300, 0.3300], [0.0000, 0.6693, 0.6693], [0.5000, 0.1094, 0.1094], [0.5000, 0.4366, 0.4366], [0.5000, 0.7745, 0.7745]], "crystal_system": "orthorhombic", "energy_ry_per_atom": -2.2960}

=====

No. 11
{"formula": "ZrAg2", "functional": "SCAN", "state": "PBEsol geometry", "cell": [[2.9489, 0.0000, 0.0000], [-1.4744, 2.5538, 0.0000], [0.0000, 0.0000, 7.2597]], "species": ["Zr", "Ag", "Ag"], "fractional_positions": [[0.0000, 0.0000, 0.0000], [0.3333, 0.6667, 0.6590], [0.6667, 0.3333, 0.3410]], "crystal_system": "trigonal", "energy_ry_per_atom": -2.2854}

=====

No. 12
{"formula": "ZrAg2", "functional": "SCAN", "state": "PBEsol geometry", "cell": [[2.0837, -6.1407, 0.0000], [2.0837, 6.1407, 0.0000], [0.0000, 0.0000, 4.2914]], "species": ["Zr", "Zr", "Ag", "Ag", "Ag", "Ag"], "fractional_positions": [[0.0885, 0.9115, 0.7500], [0.9115, 0.0885, 0.2500], [0.2463, 0.7537, 0.2500], [0.4176, 0.5824, 0.7500], [0.5824, 0.4176, 0.2500], [0.7537, 0.2463, 0.7500]], "crystal_system": "orthorhombic", "energy_ry_per_atom": -2.2909}

=====

No. 13
{"formula": "Zr3Ag2", "functional": "SCAN", "state": "PBEsol geometry", "cell": [[5.0352, -1.5595, 0.0000], [5.0352, 1.5595, 0.0000], [-3.7869, 0.0000, 6.3173]], "species": ["Zr", "Zr", "Zr", "Ag", "Ag"], "fractional_positions": [[0.0000, 0.0000, 0.0000], [0.1828, 0.1828, 0.7889], [0.8172, 0.8172, 0.2111], [0.3876, 0.3876, 0.5929], [0.6124, 0.6124, 0.4071]], "crystal_system": "monoclinic", "energy_ry_per_atom": -2.2788}

=====

No. 14
{"formula": "ZrAg2", "functional": "SCAN", "state": "PBEsol geometry", "cell": [[-1.4950, 1.4950, 6.0881], [1.4950, -1.4950, 6.0881], [1.4950, 1.4950, -6.0881]], "species": ["Zr", "Ag", "Ag"], "fractional_positions": [[0.0000, 0.0000, 0.0000], [0.3276, 0.3276, 0.0000], [0.6724, 0.6724, 0.0000]], "crystal_system": "tetragonal", "energy_ry_per_atom": -2.2913}

=====

No. 15
{"formula": "ZrAg5", "functional": "SCAN", "state": "PBEsol geometry", "cell": [[4.9740, 0.0000, 0.0000], [-2.4870, 4.3076, 0.0000], [0.0000, 0.0000, 4.8446]], "species": ["Zr", "Ag", "Ag", "Ag", "Ag", "Ag"], "fractional_positions": [[0.0000, 0.0000, 0.0000], [0.0000, 0.3359, 0.5000], [0.3333, 0.6667, 0.0000], [0.3359, 0.0000, 0.5000], [0.6641, 0.6641, 0.5000], [0.6667, 0.3333, 0.0000]], "crystal_system": "hexagonal", "energy_ry_per_atom": -2.2977}

=====

No. 16
{"formula": "ZrAg5", "functional": "SCAN", "state": "PBEsol geometry", "cell": [[4.8443, -1.4409, 0.0000], [4.8443, 1.4409, 0.0000], [-3.5384, 0.0000, 7.4410]], "species": ["Zr", "Ag", "Ag", "Ag", "Ag", "Ag"], "fractional_positions": [[0.0000, 0.0000, 0.0000], [0.0000, 0.0000, 0.5000], [0.3304, 0.3304, 0.1721], [0.3338, 0.3338, 0.6608], [0.6662, 0.6662, 0.3392], [0.6696, 0.6696, 0.8279]], "crystal_system": "monoclinic", "energy_ry_per_atom": -2.2975}

=====

No. 17
{"formula": "Zr4Ag", "functional": "SCAN", "state": "PBEsol geometry", "cell": [[-1.5740, 1.5740, 10.5560], [1.5740, -1.5740, 10.5560], [1.5740, 1.5740, -10.5560]], "species": ["Zr", "Zr", "Zr", "Zr", "Ag"], "fractional_positions": [[0.0940, 0.0940, 0.0000], [0.3024, 0.3024, 0.0000], [0.6976, 0.6976, 0.0000], [0.9060, 0.9060, 0.0000], [0.5000, 0.5000, 0.0000]], "crystal_system": "tetragonal", "energy_ry_per_atom": -2.2697}

=====

No. 18
{"formula": "Zr4Ag", "functional": "SCAN", "state": "PBEsol geometry", "cell": [[-3.5507, 3.5507, 2.0545], [3.5507, -3.5507, 2.0545], [3.5507, 3.5507, -2.0545]], "species": ["Zr", "Zr", "Zr", "Zr", "Ag"], "fractional_positions": [[0.1096, 0.6943, 0.8039], [0.3057, 0.1096, 0.4153], [0.6943, 0.8904, 0.5847], [0.8904, 0.3057, 0.1961], [0.5000, 0.5000, 0.0000]], "crystal_system": "tetragonal", "energy_ry_per_atom": -2.2659}

=====

No. 19
{"formula": "Zr4Ag", "functional": "SCAN", "state": "PBEsol geometry", "cell": [[5.4439, -1.6015, 0.0000], [5.4439, 1.6015, 0.0000], [-4.8224, 0.0000, 6.0168]], "species": ["Zr", "Zr", "Zr", "Zr", "Ag"], "fractional_positions": [[0.0866, 0.0866, 0.3842], [0.2857, 0.2857, 0.1979], [0.7143, 0.7143, 0.8021], [0.9134, 0.9134, 0.6158], [0.5000, 0.5000, 0.0000]], "crystal_system": "monoclinic", "energy_ry_per_atom": -2.2672}

=====

No. 20
{"formula": "Zr2Ag3", "functional": "SCAN", "state": "PBEsol geometry", "cell": [[-1.4792, 1.4792, 10.5031], [1.4792, -1.4792, 10.5031], [1.4792, 1.4792, -10.5031]], "species": ["Zr", "Zr", "Ag", "Ag", "Ag"], "fractional_positions": [[0.1017, 0.1017, 0.0000], [0.8983, 0.8983, 0.0000], [0.2961, 0.2961, 0.0000], [0.5000, 0.5000, 0.0000], [0.7039, 0.7039, 0.0000]], "crystal_system": "tetragonal", "energy_ry_per_atom": -2.2886}

=====

| no. | magnetic moment (μB per atom) | formation energy from the elements (eV/atom) |
| --- | --- | --- |
| 1 | 0.00 | -0.195 |
| 2 | 0.00 | -0.126 |
| 3 | 0.00 | -0.166 |
| 4 | 0.00 | -0.053 |
| 5 | 0.00 | -0.159 |
| 6 | 0.00 | -0.156 |
| 7 | 0.00 | -0.103 |
| 8 | 0.07 | -0.145 |
| 9 | 0.00 | -0.069 |
| 10 | 0.00 | 0.017 |
| 11 | 0.00 | 0.050 |
| 12 | 0.27 | -0.026 |
| 13 | 0.00 | -0.038 |
| 14 | 0.00 | -0.030 |
| 15 | 0.00 | -0.007 |
| 16 | 0.00 | -0.003 |
| 17 | 0.00 | -0.049 |
| 18 | 0.00 | 0.004 |
| 19 | 0.00 | -0.015 |
| 20 | 0.00 | -0.038 |